Entry P
# Co2Rh3 PBE relaxed
# Crystal system   orthorhombic
data_Co2Rh3
_cell_length_a 2.670
_cell_length_b 3.701
_cell_length_c 13.226
_cell_angle_alpha 90.00
_cell_angle_beta 90.00
_cell_angle_gamma 90.00
_symmetry_space_group_name_H-M 'I m m m'
_symmetry_Int_Tables_number 71
_symmetry_space_group_name_Hall '-I 2 2'
loop_
_atom_site_label
_atom_site_type_symbol
_atom_site_fract_x
_atom_site_fract_y
_atom_site_fract_z
Co1 Co 0.000 0.000 0.204
Rh1 Rh 0.000 0.000 0.000
Rh2 Rh 0.000 0.000 0.393

---

Entry Q
# Co2Rh3 PBE relaxed
# Crystal system   tetragonal
data_Co2Rh3
_cell_length_a 2.677
_cell_length_b 2.677
_cell_length_c 18.178
_cell_angle_alpha 90.00
_cell_angle_beta 90.00
_cell_angle_gamma 90.00
_symmetry_space_group_name_H-M 'I 4/m m m'
_symmetry_Int_Tables_number 139
_symmetry_space_group_name_Hall '-I 4 2'
loop_
_atom_site_label
_atom_site_type_symbol
_atom_site_fract_x
_atom_site_fract_y
_atom_site_fract_z
Co1 Co 0.000 0.000 0.099
Rh1 Rh 0.000 0.000 0.304
Rh2 Rh 0.000 0.000 0.500

---

Energy ordering: entry P at the bottom, the next structure 6 meV/atom above.

---

Entry P
# CoRuRh2 PBE relaxed
# Crystal system   monoclinic
data_CoRuRh2
_cell_length_a 8.845
_cell_length_b 2.673
_cell_length_c 4.596
_cell_angle_alpha 90.00
_cell_angle_beta 100.27
_cell_angle_gamma 90.00
_symmetry_space_group_name_H-M 'C 1 2/m 1'
_symmetry_Int_Tables_number 12
loop_
_symmetry_equiv_pos_as_xyz
'x,y,z'
'-x,-y,-z'
'-x,y,-z'
'x,-y,z'
'x+1/2,y+1/2,z'
'-x+1/2,-y+1/2,-z'
'-x+1/2,y+1/2,-z'
'x+1/2,-y+1/2,z'
loop_
_atom_site_label
_atom_site_type_symbol
_atom_site_fract_x
_atom_site_fract_y
_atom_site_fract_z
Co1 Co 0.000 0.000 0.000
Ru1 Ru 0.000 0.500 0.500
Rh1 Rh 0.248 0.500 0.247

---

Entry Q
# CoRuRh2 PBE relaxed
# Crystal system   trigonal
data_CoRuRh2
_cell_length_a 2.6993
_cell_length_b 2.6993
_cell_length_c 25.7088
_cell_angle_alpha 90.00
_cell_angle_beta 90.00
_cell_angle_gamma 120.00
_symmetry_space_group_name_H-M 'R -3 m'
_symmetry_Int_Tables_number 166
_symmetry_space_group_name_Hall '-R 3 2"'
loop_
_atom_site_label
_atom_site_type_symbol
_atom_site_fract_x
_atom_site_fract_y
_atom_site_fract_z
Co1 Co 0.0000 0.0000 0.0000
Ru1 Ru 0.0000 0.0000 0.5000
Rh1 Rh 0.0000 0.0000 0.2520

---

Entry R
# CoRuRh2 PBE relaxed
# Crystal system   trigonal
data_CoRuRh2
_cell_length_a 2.6896
_cell_length_b 2.6896
_cell_length_c 25.7518
_cell_angle_alpha 90.00
_cell_angle_beta 90.00
_cell_angle_gamma 120.00
_symmetry_space_group_name_H-M 'R 3 m'
_symmetry_Int_Tables_number 160
_symmetry_space_group_name_Hall 'R 3 -2"'
loop_
_atom_site_label
_atom_site_type_symbol
_atom_site_fract_x
_atom_site_fract_y
_atom_site_fract_z
Co1 Co 0.0000 0.0000 0.0000
Ru1 Ru 0.0000 0.0000 0.5872
Rh1 Rh 0.0000 0.0000 0.1685
Rh2 Rh 0.0000 0.0000 0.7465

---

Entry S
# CoRuRh2 PBE relaxed
# Crystal system   orthorhombic
data_CoRuRh2
_cell_length_a 5.341
_cell_length_b 7.531
_cell_length_c 2.680
_cell_angle_alpha 90.00
_cell_angle_beta 90.00
_cell_angle_gamma 90.00
_symmetry_space_group_name_H-M 'C m m m'
_symmetry_Int_Tables_number 65
_symmetry_space_group_name_Hall '-C 2 2'
loop_
_atom_site_label
_atom_site_type_symbol
_atom_site_fract_x
_atom_site_fract_y
_atom_site_fract_z
Co1 Co 0.000 0.000 0.000
Ru1 Ru 0.000 0.500 0.000
Rh1 Rh 0.250 0.250 0.500

---

Energy ordering: entry R at the bottom, the next structure 9 meV/atom above.